Compound: AlZn2Si
Source: the Alexandria database
Functional: PBE-GGA
Structure: optimized geometry

a = 2.7331 Å, b = 2.7331 Å, c = 28.8892 Å
α = 90.00°, β = 90.00°, γ = 120.00°
Space group R3m (No. 160, hexagonal axes)
Asymmetric unit:
Al 0.0000 0.0000 0.0000 x3
Zn 0.0000 0.0000 0.2550 x3
Zn 0.0000 0.0000 0.5049 x3
Si 0.0000 0.0000 0.7528 x3

**Density of states at the Fermi level**: 3.547 states/eV/cell
**Raw formation energy**: 0.17 eV/atom
**Total magnetic moment**: 0.00 μB per formula unit
**Electronic total energy**: -2.7618 eV/atom